1.
{"formula": "Sr4LiFe", "functional": "PBE-GGA", "state": "relaxed", "lattice": [[0.000, 5.244, 5.244], [5.244, 0.000, 5.244], [5.244, 5.244, 0.000]], "species": ["Fe", "Li", "Sr", "Sr", "Sr", "Sr"], "frac_coords": [[0.750, 0.750, 0.750], [0.000, 0.000, 0.000], [0.375, 0.375, 0.375], [0.375, 0.375, 0.875], [0.375, 0.875, 0.375], [0.875, 0.375, 0.375]], "spacegroup": "No. 216", "e_form_ev_per_atom": 0.88}

=====

2.
{"formula": "SrLiFe2", "functional": "PBE-GGA", "state": "relaxed", "lattice": [[3.971, 0.000, 0.000], [0.000, 3.971, 0.000], [0.000, 0.000, 4.636]], "species": ["Fe", "Sr", "Li", "Fe"], "frac_coords": [[0.500, 0.500, 0.000], [0.000, 0.500, 0.500], [0.500, 0.000, 0.500], [0.000, 0.000, 0.000]], "spacegroup": "No. 123", "e_form_ev_per_atom": 0.74}

=====

3.
{"formula": "SrLiFe2", "functional": "PBE-GGA", "state": "relaxed", "lattice": [[5.445, -0.022, 0.000], [-2.754, 4.697, 0.000], [0.000, 0.000, 2.912]], "species": ["Fe", "Li", "Fe", "Sr"], "frac_coords": [[0.000, 0.000, 0.000], [0.500, 0.000, 0.500], [0.500, 0.500, 0.000], [0.000, 0.500, 0.500]], "spacegroup": "No. 65", "e_form_ev_per_atom": 0.83}

=====

4.
{"formula": "Sr2LiFe", "functional": "PBE-GGA", "state": "relaxed", "lattice": [[6.527, 0.113, 0.000], [3.009, 5.793, 0.000], [-4.768, -2.953, 3.340]], "species": ["Fe", "Sr", "Li", "Sr"], "frac_coords": [[0.500, 0.500, 0.000], [0.250, 0.750, 0.500], [0.750, 0.250, 0.500], [0.000, 0.000, 0.000]], "spacegroup": "No. 119", "e_form_ev_per_atom": 0.57, "e_above_lowest_polymorph_ev_per_atom": 0.145}

=====

5.
{"formula": "SrLiFe2", "functional": "PBE-GGA", "state": "relaxed", "lattice": [[5.605, -0.065, -0.121], [2.895, 4.801, 0.121], [-3.798, -3.179, 2.628]], "species": ["Sr", "Fe", "Fe", "Li"], "frac_coords": [[0.250, 0.750, 0.500], [0.517, 0.517, 0.000], [0.983, 0.983, 0.000], [0.750, 0.250, 0.500]], "spacegroup": "No. 71", "e_form_ev_per_atom": 0.72}

=====

6.
{"formula": "SrLiFe2", "functional": "PBE-GGA", "state": "relaxed", "lattice": [[9.501, -0.038, -0.022], [9.017, 2.996, -0.022], [9.017, 1.440, 2.627]], "species": ["Sr", "Fe", "Fe", "Li"], "frac_coords": [[0.750, 0.750, 0.750], [0.509, 0.509, 0.509], [0.991, 0.991, 0.991], [0.250, 0.250, 0.250]], "spacegroup": "No. 166", "e_form_ev_per_atom": 0.99}

=====

7.
{"formula": "SrLiFe2", "functional": "PBE-GGA", "state": "relaxed", "lattice": [[4.051, -0.031, 0.035], [2.056, 3.491, 0.035], [1.982, 1.123, 5.699]], "species": ["Li", "Sr", "Fe", "Fe"], "frac_coords": [[0.545, 0.545, 0.366], [0.740, 0.740, 0.780], [0.274, 0.274, 0.180], [0.942, 0.942, 0.175]], "spacegroup": "No. 160", "e_form_ev_per_atom": 0.40}

=====

8.
{"formula": "Sr2LiFe", "functional": "PBE-GGA", "state": "relaxed", "lattice": [[-0.319, -3.755, 0.554], [3.552, -0.491, -1.283], [3.048, 0.934, 8.080]], "species": ["Fe", "Sr", "Li", "Sr"], "frac_coords": [[0.500, 0.500, 0.250], [0.000, 0.000, 0.034], [0.500, 0.500, 0.750], [0.000, 0.000, 0.466]], "spacegroup": "No. 123", "e_form_ev_per_atom": 0.43, "e_above_lowest_polymorph_ev_per_atom": 0.001}